Entry 1:
A relaxed structure of HoSc2Au6, computed with PBE-GGA.

The space group is C2/m (No. 12) and the conventional cell measures 5.113, 15.503 and 5.137 Å, with angles of 90.00, 119.43 and 90.00 degrees. The distinct sites, in fractional coordinates, are Ho at (0.000, 0.000, 0.000), Sc at (0.000, 0.334, 0.500), Au at (0.156, 0.500, 0.330) and Au at (0.166, 0.169, 0.829).

The calculation puts the mass density at 13.5 g/cm³. The calculation puts the total energy at -4.853 eV/atom. For the density of states at the Fermi level, the calculation gives 8.5 states/eV/cell.



Entry 2:
A relaxed structure of HoScAu, computed with PBE-GGA.

The space group is R-3m (No. 166, hexagonal axes) and the conventional cell measures 4.8237, 4.8237 and 23.5186 Å, with angles of 90.00, 90.00 and 120.00 degrees. The distinct sites, in fractional coordinates, are Ho at (0.0000, 0.0000, 0.1218), Sc at (0.0000, 0.0000, 0.3720) and Au at (0.0000, 0.0000, 0.2530).

The calculation puts the mass density at 8.6 g/cm³. The value obtained for the offset from the most stable computed form is 211 meV per atom. For the density of states at the Fermi level, the calculation gives 22.1 states/eV/cell.



Entry 3:
A relaxed structure of Ho5ScAu6, computed with PBE-GGA.

The space group is Immm (No. 71) and the conventional cell measures 5.047, 7.039 and 15.192 Å, with angles of 90.00, 90.00 and 90.00 degrees. The distinct sites, in fractional coordinates, are Ho at (0.000, 0.000, 0.000), Ho at (0.000, 0.000, 0.332), Ho at (0.000, 0.500, 0.334), Sc at (0.000, 0.500, 0.000), Au at (0.000, 0.238, 0.500) and Au at (0.000, 0.257, 0.162).

The calculation puts the mass density at 12.6 g/cm³. The calculation puts the total energy at -4.927 eV/atom. For the density of states at the Fermi level, the calculation gives 12.1 states/eV/cell.



Entry 4:
A relaxed structure of HoSc2Au, computed with PBE-GGA.

The space group is Cmcm (No. 63) and the conventional cell measures 4.714, 11.077 and 7.523 Å, with angles of 90.00, 90.00 and 90.00 degrees. The distinct sites, in fractional coordinates, are Ho at (0.000, 0.055, 0.250), Sc at (0.000, 0.352, 0.044) and Au at (0.000, 0.209, 0.750).

The calculation puts the mass density at 7.6 g/cm³. The value obtained for the offset from the most stable computed form is 0 meV per atom. For the density of states at the Fermi level, the calculation gives 24.6 states/eV/cell.



Entry 5:
A relaxed structure of HoScAu, computed with PBE-GGA.

The space group is P4/nmm (No. 129, origin choice 2) and the conventional cell measures 4.534, 4.534 and 7.117 Å, with angles of 90.00, 90.00 and 90.00 degrees. The distinct sites, in fractional coordinates, are Ho at (0.250, 0.250, 0.134), Sc at (0.250, 0.750, 0.500) and Au at (0.250, 0.250, 0.736).

The calculation puts the mass density at 9.2 g/cm³. The value obtained for the offset from the most stable computed form is 42 meV per atom. For the density of states at the Fermi level, the calculation gives 9.9 states/eV/cell.



Entry 6:
A relaxed structure of Ho2ScAu2, computed with PBE-GGA.

The space group is Immm (No. 71) and the conventional cell measures 3.987, 6.771 and 9.011 Å, with angles of 90.00, 90.00 and 90.00 degrees. The distinct sites, in fractional coordinates, are Ho at (0.000, 0.000, 0.201), Sc at (0.000, 0.500, 0.000) and Au at (0.000, 0.283, 0.500).

The calculation puts the mass density at 10.5 g/cm³. The value obtained for the offset from the most stable computed form is 54 meV per atom. For the density of states at the Fermi level, the calculation gives 12.5 states/eV/cell.



Entry 7:
A relaxed structure of HoSc3Au2, computed with PBE-GGA.

The space group is Pmc2_1 (No. 26) and the conventional cell measures 4.717, 8.472 and 6.793 Å, with angles of 90.00, 90.00 and 90.00 degrees. The distinct sites, in fractional coordinates, are Ho at (0.000, 0.068, 0.000), Sc at (0.000, 0.332, 0.634), Sc at (0.500, 0.179, 0.333), Sc at (0.500, 0.434, 0.965), Au at (0.000, 0.354, 0.233) and Au at (0.500, 0.153, 0.735).

The calculation puts the mass density at 8.5 g/cm³. The calculation puts the total energy at -5.670 eV/atom. For the density of states at the Fermi level, the calculation gives 11.1 states/eV/cell.



Entry 8:
A relaxed structure of HoSc2Au, computed with PBE-GGA.

The space group is P4/mmm (No. 123) and the conventional cell measures 3.470, 3.470 and 7.869 Å, with angles of 90.00, 90.00 and 90.00 degrees. The distinct sites, in fractional coordinates, are Ho at (0.000, 0.000, 0.000), Sc at (0.500, 0.500, 0.295) and Au at (0.000, 0.000, 0.500).

The calculation puts the mass density at 7.9 g/cm³. The value obtained for the offset from the most stable computed form is 70 meV per atom. For the density of states at the Fermi level, the calculation gives 5.8 states/eV/cell.